Record 1
Compound: CdCo2Tc
Source: Alexandria via LeMat-Bulk
Functional: PBE
Structure: optimized geometry

Cell lengths 4.6031, 4.6031, 2.6975 Å; angles 90.00, 90.00, 103.42 degrees
Atoms (fractional coordinates):
1 Cd 0.0000 0.0000 0.0000
2 Co 0.0000 0.5000 0.5000
3 Co 0.5000 0.0000 0.5000
4 Tc 0.5000 0.5000 0.0000

Calculated values
Formation energy (eV/atom): 0.40
Uncorrected energy (eV per atom): -5.9704
ρ (g/cm3): 9.8

Record 2
Compound: ZrTlBC2
Source: Alexandria via LeMat-Bulk
Functional: PBE
Structure: optimized geometry

Cell lengths 3.8899, 3.8899, 4.5592 Å; angles 90.00, 90.00, 90.00 degrees
Atoms (fractional coordinates):
1 Zr 0.0000 0.0000 0.0000
2 Tl 0.5000 0.5000 0.0000
3 B 0.5000 0.5000 0.5000
4 C 0.0000 0.5000 0.5000
5 C 0.5000 0.0000 0.5000

Calculated values
Formation energy (eV/atom): 2.07
Uncorrected energy (eV per atom): -5.1374
ρ (g/cm3): 8.0

Record 3
Compound: NbBi2I
Source: Alexandria via LeMat-Bulk
Functional: PBE
Structure: optimized geometry

Cell lengths 8.7319, 8.7319, 8.7319 Å; angles 133.23, 133.23, 68.29 degrees
Atoms (fractional coordinates):
1 Nb 0.0000 0.0000 0.0000
2 Nb 0.7500 0.2500 0.5000
3 Bi 0.0318 0.6250 0.9068
4 Bi 0.3750 0.2818 0.4068
5 Bi 0.7182 0.1250 0.0932
6 Bi 0.8750 0.9682 0.5932
7 I 0.2500 0.7500 0.5000
8 I 0.5000 0.5000 0.0000

Calculated values
Energy above the most stable polymorph in this dataset (kcal/mol of atoms): 0.000
E_form (uncorrected) (meV/atom): 637
Uncorrected energy (eV per atom): -4.2086
ρ (g/cm3): 6.1

Record 4
Compound: HfAsHRu
Source: Alexandria via LeMat-Bulk
Functional: PBE
Structure: optimized geometry

Cell lengths 4.0005, 4.0005, 6.5692 Å; angles 90.00, 90.00, 90.00 degrees
Atoms (fractional coordinates):
1 Hf 0.2500 0.2500 0.1579
2 Hf 0.7500 0.7500 0.8421
3 As 0.2500 0.2500 0.7181
4 As 0.7500 0.7500 0.2819
5 H 0.2500 0.7500 0.0000
6 H 0.7500 0.2500 0.0000
7 Ru 0.2500 0.7500 0.5000
8 Ru 0.7500 0.2500 0.5000

Calculated values
Uncorrected energy (eV per atom): -7.2854
ρ (g/cm3): 11.2

Record 5
Compound: NdDy2Y6Sc
Source: Alexandria via LeMat-Bulk
Functional: PBE
Structure: optimized geometry

Cell lengths 9.1551, 9.1551, 8.7496 Å; angles 90.99, 90.99, 119.04 degrees
Atoms (fractional coordinates):
1 Nd 0.0325 0.9675 0.7500
2 Nd 0.9675 0.0325 0.2500
3 Dy 0.2113 0.3220 0.5574
4 Dy 0.3220 0.2113 0.0574
5 Dy 0.6780 0.7887 0.9426
6 Dy 0.7887 0.6780 0.4426
7 Y 0.0471 0.4597 0.2931
8 Y 0.1337 0.7915 0.0519
9 Y 0.2085 0.8663 0.4481
10 Y 0.2655 0.5238 0.9090
11 Y 0.4597 0.0471 0.7931
12 Y 0.4762 0.7345 0.5910
13 Y 0.5238 0.2655 0.4090
14 Y 0.5403 0.9529 0.2069
15 Y 0.7345 0.4762 0.0911
16 Y 0.7915 0.1337 0.5519
17 Y 0.8663 0.2085 0.9481
18 Y 0.9529 0.5403 0.7069
19 Sc 0.4438 0.5562 0.2500
20 Sc 0.5562 0.4438 0.7500

Calculated values
Formation energy (eV/atom): 0.12
Uncorrected energy (eV per atom): -5.7905
ρ (g/cm3): 5.4

Record 6
Compound: FeRhSe2Br
Source: Alexandria via LeMat-Bulk
Functional: PBE
Structure: optimized geometry

Cell lengths 4.8836, 4.8836, 5.0050 Å; angles 90.00, 90.00, 90.00 degrees
Atoms (fractional coordinates):
1 Fe 0.0000 0.0000 0.0000
2 Rh 0.5000 0.5000 0.5000
3 Se 0.0000 0.5000 0.5000
4 Se 0.5000 0.0000 0.5000
5 Br 0.5000 0.5000 0.0000

Calculated values
Energy above the most stable polymorph in this dataset (kcal/mol of atoms): 0.000
E_form (uncorrected) (meV/atom): 646
Uncorrected energy (eV per atom): -4.2448
ρ (g/cm3): 5.5